[1]
DFT (PBE) results for a geometry-optimized CsRb2ZnBr5 structure.

Cell lengths 9.5638, 9.5638, 15.2021 Å; angles 90.00, 90.00, 90.00 degrees
Last column: nearest neighbours and their distance in Å.
Space group I4/mcm (No. 140)
Inequivalent atoms, fractional coordinates:
Cs (0.0000, 0.0000, 0.2500) x4  10 Br 3.80-3.98
Rb (0.1635, 0.3365, 0.0000) x8  8 Br 3.50-3.72
Zn (0.0000, 0.5000, 0.2500) x4  4 Br 2.43
Br (0.0000, 0.0000, 0.0000) x4  4 Rb 3.58, 2 Cs 3.80
Br (0.1415, 0.3585, 0.3489) x16  1 Zn 2.43

Results
The formation energy (no corrections) is -1.510 eV per atom. The final energy is -2.890 eV/atom. The value obtained for the total magnetization is 0.01 μB per atom. The crystal system is tetragonal.



[2]
DFT (PBE) results for a geometry-optimized FeNiP6 structure.

Cell lengths 10.9652, 7.7668, 7.7572 Å; angles 90.00, 134.92, 90.00 degrees
Last column: nearest neighbours and their distance in Å.
Space group C2/m (No. 12)
Inequivalent atoms, fractional coordinates:
Fe (0.2500, 0.2500, 0.0000) x4  6 P 2.20-2.22
Ni (0.2500, 0.2500, 0.5000) x4  6 P 2.26-2.28
P (0.0058, 0.1457, 0.6565) x8  1 Fe 2.20, 2 P 2.26-2.34, 1 Ni 2.28
P (0.1454, 0.3493, 0.1401) x8  1 Fe 2.20, 2 P 2.26-2.34, 1 Ni 2.28
P (0.1461, 0.5000, 0.5018) x4  2 Ni 2.26, 2 P 2.26-2.35
P (0.1559, 0.5000, 0.8030) x4  2 Fe 2.22, 2 P 2.26-2.35

Results
The final energy is -6.245 eV/atom. As for the formation energy: -0.41 eV/atom. The value obtained for the total magnetization is 0.00 μB per atom. The crystal system is monoclinic.



[3]
DFT (PBE) results for a geometry-optimized GeH2I structure.

Cell lengths 8.1705, 8.1705, 8.1705 Å; angles 90.00, 90.00, 90.00 degrees
Last column: nearest neighbours and their distance in Å.
Space group Fd-3m (No. 227, origin choice 2)
Inequivalent atoms, fractional coordinates:
Ge (0.1250, 0.1250, 0.1250) x8  4 H 1.77
H (0.0000, 0.0000, 0.0000) x16  2 Ge 1.77
I (0.1250, 0.1250, 0.6250) x8  12 H 3.39, 4 Ge 3.54, 4 I 3.54

Results
The final energy is -2.962 eV/atom. For the energy above the most stable polymorph in this dataset, the calculation gives 0.00 eV/f.u. The value obtained for the total magnetization is 0.00 μB per atom. The crystal system is cubic.



[4]
DFT (PBE) results for a geometry-optimized Hf3VTc structure.

Cell lengths 4.7333, 4.7333, 4.7333 Å; angles 90.00, 90.00, 90.00 degrees
Last column: nearest neighbours and their distance in Å.
Space group Pm-3m (No. 221)
Inequivalent atoms, fractional coordinates:
Hf (0.0000, 0.0000, 0.5000) x3  2 V 2.37
V (0.0000, 0.0000, 0.0000) x1  6 Hf 2.37
Tc (0.5000, 0.5000, 0.5000) x1  12 Hf 3.35

Results
The final energy is -8.858 eV/atom. As for the formation energy: 1.01 eV/atom. For the energy above the most stable polymorph in this dataset, the calculation gives 1.17 eV/f.u. The value obtained for the total magnetization is 0.00 μB per atom. The crystal system is cubic.



[5]
DFT (PBE) results for a geometry-optimized ZnSbMo2 structure.

Cell lengths 6.4319, 6.4319, 6.4319 Å; angles 90.00, 90.00, 90.00 degrees
Last column: nearest neighbours and their distance in Å.
Space group Fm-3m (No. 225)
Inequivalent atoms, fractional coordinates:
Zn (0.0000, 0.0000, 0.0000) x4  8 Mo 2.79
Sb (0.0000, 0.0000, 0.5000) x4  8 Mo 2.79
Mo (0.2500, 0.2500, 0.2500) x8  4 Sb 2.79, 4 Zn 2.79

Results
The formation energy (no corrections) is 0.375 eV per atom. The final energy is -6.390 eV/atom. For the energy above the most stable polymorph in this dataset, the calculation gives 1.03 eV/f.u. The value obtained for the total magnetization is 0.00 μB per atom. The crystal system is cubic.



[6]
DFT (PBE) results for a geometry-optimized MgTaTc2 structure.

Cell lengths 2.9456, 2.9456, 7.7414 Å; angles 90.00, 90.00, 90.00 degrees
Last column: nearest neighbours and their distance in Å.
Space group P4mm (No. 99)
Inequivalent atoms, fractional coordinates:
Mg (0.0000, 0.0000, 0.0000) x1  4 Tc 2.86, 4 Mg 2.95, 4 Ta 3.08
Ta (0.5000, 0.5000, 0.2936) x1  4 Tc 2.92, 4 Ta 2.95, 4 Mg 3.08
Tc (0.0000, 0.0000, 0.5578) x1  4 Tc 2.55
Tc (0.5000, 0.5000, 0.7470) x1  4 Tc 2.55

Results
The final energy is -8.403 eV/atom. As for the formation energy: 0.14 eV/atom. The value obtained for the total magnetization is 0.00 μB per atom. The crystal system is tetragonal.



[7]
DFT (PBE) results for a geometry-optimized NaNiI3 structure.

Cell lengths 5.4264, 5.4264, 5.4264 Å; angles 90.00, 90.00, 90.00 degrees
Last column: nearest neighbours and their distance in Å.
Space group Pm-3m (No. 221)
Inequivalent atoms, fractional coordinates:
Na (0.0000, 0.0000, 0.0000) x1  12 I 3.84
Ni (0.5000, 0.5000, 0.5000) x1  6 I 2.71
I (0.0000, 0.5000, 0.5000) x3  2 Ni 2.71

Results
The formation energy (no corrections) is -0.366 eV per atom. The final energy is -2.716 eV/atom. For the energy above the most stable polymorph in this dataset, the calculation gives 0.00 eV/f.u. The value obtained for the total magnetization is 0.00 μB per atom. The crystal system is cubic.



[8]
DFT (PBE) results for a geometry-optimized AcCdPdO4 structure.

Cell lengths 6.2070, 7.8373, 10.1911 Å; angles 90.00, 90.00, 90.00 degrees
Last column: nearest neighbours and their distance in Å.
Space group Imma (No. 74)
Inequivalent atoms, fractional coordinates:
Ac (0.0000, 0.0000, 0.0000) x4  6 O 2.53-2.54
Cd (0.0000, 0.2500, 0.2888) x4  4 O 2.16-2.39
Pd (0.2500, 0.2500, 0.7500) x4  4 O 2.02
O (0.0000, 0.0856, 0.7610) x8  2 Pd 2.02
O (0.2116, 0.2500, 0.0930) x8  2 Cd 2.16-2.39

Results
The formation energy (no corrections) is -1.484 eV per atom. The final energy is -5.777 eV/atom. The value obtained for the total magnetization is 0.04 μB per atom. The crystal system is orthorhombic.



Q: Number 5 is which compound?
A: ZnSbMo2



Q: Number 2 is which compound?
A: FeNiP6



What did the second record say?
DFT (PBE) results for a geometry-optimized FeNiP6 structure.

Cell lengths 10.9652, 7.7668, 7.7572 Å; angles 90.00, 134.92, 90.00 degrees
Last column: nearest neighbours and their distance in Å.
Space group C2/m (No. 12)
Inequivalent atoms, fractional coordinates:
Fe (0.2500, 0.2500, 0.0000) x4  6 P 2.20-2.22
Ni (0.2500, 0.2500, 0.5000) x4  6 P 2.26-2.28
P (0.0058, 0.1457, 0.6565) x8  1 Fe 2.20, 2 P 2.26-2.34, 1 Ni 2.28
P (0.1454, 0.3493, 0.1401) x8  1 Fe 2.20, 2 P 2.26-2.34, 1 Ni 2.28
P (0.1461, 0.5000, 0.5018) x4  2 Ni 2.26, 2 P 2.26-2.35
P (0.1559, 0.5000, 0.8030) x4  2 Fe 2.22, 2 P 2.26-2.35

Results
The final energy is -6.245 eV/atom. As for the formation energy: -0.41 eV/atom. The value obtained for the total magnetization is 0.00 μB per atom. The crystal system is monoclinic.